# 1
# NdDyTl2Zn2 | OQMD via LeMat-Bulk | PBE | optimized geometry
# Energy: -18.775 eV for the cell shown
# Total magnetic moment: 0.01 Bohr magnetons per cell
data_NdDyTl2Zn2
_space_group_name_H-M_alt 'P 3 m 1'
_space_group_IT_number 156
_cell_length_a 4.7255
_cell_length_b 4.7255
_cell_length_c 7.4767
_cell_angle_alpha 90.00
_cell_angle_beta 90.00
_cell_angle_gamma 120.00
loop_
_space_group_symop_operation_xyz
'x,y,z'
'-y,x-y,z'
'-x+y,-x,z'
'-y,-x,z'
'-x+y,y,z'
'x,x-y,z'
loop_
_atom_site_label
_atom_site_type_symbol
_atom_site_fract_x
_atom_site_fract_y
_atom_site_fract_z
Nd1 Nd 0.0000 0.0000 0.0000
Dy1 Dy 0.0000 0.0000 0.5003
Tl1 Tl 0.3333 0.6667 0.7710
Tl2 Tl 0.6667 0.3333 0.2858
Zn1 Zn 0.3333 0.6667 0.2046
Zn2 Zn 0.6667 0.3333 0.6924

# 2
# LiCd2Ga | OQMD via LeMat-Bulk | PBE | optimized geometry
# Energy: -28.978 eV for the cell shown
data_LiCd2Ga
_space_group_name_H-M_alt 'F -4 3 m'
_space_group_IT_number 216
_space_group_name_Hall 'F -4 2 3'
_cell_length_a 6.7572
_cell_length_b 6.7572
_cell_length_c 6.7572
_cell_angle_alpha 90.00
_cell_angle_beta 90.00
_cell_angle_gamma 90.00
loop_
_atom_site_label
_atom_site_type_symbol
_atom_site_fract_x
_atom_site_fract_y
_atom_site_fract_z
Li1 Li 0.0000 0.0000 0.0000
Cd1 Cd 0.0000 0.0000 0.5000
Cd2 Cd 0.2500 0.2500 0.2500
Ga1 Ga 0.2500 0.2500 0.7500

# 3
# PaGeAsO | OQMD via LeMat-Bulk | PBE | optimized geometry
# Distance to the lowest polymorph of the same formula: 1162.0 meV per atom
# Energy: -46.027 eV for the cell shown
# Total magnetic moment: 0.10 Bohr magnetons per cell
data_PaGeAsO
_space_group_name_H-M_alt 'P 4/n m m'
_space_group_IT_number 129
_cell_length_a 4.3945
_cell_length_b 4.3945
_cell_length_c 7.9645
_cell_angle_alpha 90.00
_cell_angle_beta 90.00
_cell_angle_gamma 90.00
loop_
_space_group_symop_operation_xyz
'x,y,z'
'-x,-y,-z'
'-y+1/2,x,z'
'y+1/2,-x,-z'
'-x+1/2,-y+1/2,z'
'x+1/2,y+1/2,-z'
'y,-x+1/2,z'
'-y,x+1/2,-z'
'x+1/2,-y,-z'
'-x+1/2,y,z'
'-y,-x,-z'
'y,x,z'
'-x,y+1/2,-z'
'x,-y+1/2,z'
'y+1/2,x+1/2,-z'
'-y+1/2,-x+1/2,z'
loop_
_atom_site_label
_atom_site_type_symbol
_atom_site_fract_x
_atom_site_fract_y
_atom_site_fract_z
Pa1 Pa 0.2500 0.7500 0.0000
Ge1 Ge 0.2500 0.2500 0.4300
As1 As 0.2500 0.2500 0.7648
O1 O 0.2500 0.7500 0.5000

# 4
# NdYHg2Au4 | OQMD via LeMat-Bulk | PBE | optimized geometry
# Formation energy: -590 meV/atom
# Energy: -29.610 eV for the cell shown
# Total magnetic moment: 0.00 Bohr magnetons per cell
data_NdYHg2Au4
_space_group_name_H-M_alt 'P 4/m m m'
_space_group_IT_number 123
_space_group_name_Hall '-P 4 2'
_cell_length_a 4.9871
_cell_length_b 4.9871
_cell_length_c 7.0380
_cell_angle_alpha 90.00
_cell_angle_beta 90.00
_cell_angle_gamma 90.00
loop_
_atom_site_label
_atom_site_type_symbol
_atom_site_fract_x
_atom_site_fract_y
_atom_site_fract_z
Nd1 Nd 0.0000 0.0000 0.0000
Y1 Y 0.5000 0.5000 0.5000
Hg1 Hg 0.0000 0.0000 0.5000
Hg2 Hg 0.5000 0.5000 0.0000
Au1 Au 0.0000 0.5000 0.2588

# 5
# Ho3Tm4Ni2Te2 | OQMD via LeMat-Bulk | PBE | optimized geometry
# Energy: -112.974 eV for the cell shown
# Total magnetic moment: 0.01 Bohr magnetons per cell
data_Ho3Tm4Ni2Te2
_space_group_name_H-M_alt 'I m m 2'
_space_group_IT_number 44
_cell_length_a 3.8219
_cell_length_b 15.4451
_cell_length_c 9.4810
_cell_angle_alpha 90.00
_cell_angle_beta 90.00
_cell_angle_gamma 90.00
loop_
_space_group_symop_operation_xyz
'x,y,z'
'-x,-y,z'
'-x,y,z'
'x,-y,z'
'x+1/2,y+1/2,z+1/2'
'-x+1/2,-y+1/2,z+1/2'
'-x+1/2,y+1/2,z+1/2'
'x+1/2,-y+1/2,z+1/2'
loop_
_atom_site_label
_atom_site_type_symbol
_atom_site_fract_x
_atom_site_fract_y
_atom_site_fract_z
Ho1 Ho 0.0000 0.0000 0.0000
Ho2 Ho 0.0000 0.3146 0.3787
Tm1 Tm 0.0000 0.1333 0.5826
Tm2 Tm 0.0000 0.3534 0.7298
Ni1 Ni 0.0000 0.2376 0.0720
Te1 Te 0.0000 0.0000 0.3374
Te2 Te 0.0000 0.5000 0.2344

# 6
# SrPrCuSi3 | OQMD via LeMat-Bulk | PBE | optimized geometry
# Distance to the lowest polymorph of the same formula: 0.0 meV per atom
# Energy: -239.997 eV for the cell shown
# Total magnetic moment: 0.00 Bohr magnetons per cell
data_SrPrCuSi3
_space_group_name_H-M_alt 'F m m m'
_space_group_IT_number 69
_space_group_name_Hall '-F 2 2'
_cell_length_a 8.1465
_cell_length_b 8.8542
_cell_length_c 14.2312
_cell_angle_alpha 90.00
_cell_angle_beta 90.00
_cell_angle_gamma 90.00
loop_
_atom_site_label
_atom_site_type_symbol
_atom_site_fract_x
_atom_site_fract_y
_atom_site_fract_z
Sr1 Sr 0.2500 0.2500 0.2500
Pr1 Pr 0.0000 0.2412 0.0000
Cu1 Cu 0.0000 0.0000 0.3332
Si1 Si 0.0000 0.0000 0.1657
Si2 Si 0.2449 0.0000 0.4173

# 7
# In2Sn3Hg2 | OQMD via LeMat-Bulk | PBE | optimized geometry
# Energy: -52.599 eV for the cell shown
data_In2Sn3Hg2
_space_group_name_H-M_alt 'R 3 m'
_space_group_IT_number 160
_space_group_name_Hall 'R 3 -2"'
_cell_length_a 5.2531
_cell_length_b 5.2531
_cell_length_c 25.1696
_cell_angle_alpha 90.00
_cell_angle_beta 90.00
_cell_angle_gamma 120.00
loop_
_atom_site_label
_atom_site_type_symbol
_atom_site_fract_x
_atom_site_fract_y
_atom_site_fract_z
In1 In 0.0000 0.0000 0.0000
In2 In 0.0000 0.0000 0.4880
Sn1 Sn 0.0000 0.0000 0.3652
Sn2 Sn 0.0000 0.0000 0.6181
Sn3 Sn 0.0000 0.0000 0.8712
Hg1 Hg 0.0000 0.0000 0.2311
Hg2 Hg 0.0000 0.0000 0.7501

# 8
# TcCl3 | OQMD via LeMat-Bulk | PBE | optimized geometry
# Distance to the lowest polymorph of the same formula: 75.7 meV per atom
# Energy: -73.595 eV for the cell shown
# Total magnetic moment: 3.99 Bohr magnetons per cell
data_TcCl3
_space_group_name_H-M_alt 'C 1 2/m 1'
_space_group_IT_number 12
_cell_length_a 6.0854
_cell_length_b 9.6649
_cell_length_c 6.3281
_cell_angle_alpha 90.00
_cell_angle_beta 108.46
_cell_angle_gamma 90.00
loop_
_space_group_symop_operation_xyz
'x,y,z'
'-x,-y,-z'
'-x,y,-z'
'x,-y,z'
'x+1/2,y+1/2,z'
'-x+1/2,-y+1/2,-z'
'-x+1/2,y+1/2,-z'
'x+1/2,-y+1/2,z'
loop_
_atom_site_label
_atom_site_type_symbol
_atom_site_fract_x
_atom_site_fract_y
_atom_site_fract_z
Tc1 Tc 0.0000 0.1415 0.0000
Cl1 Cl 0.2378 0.3299 0.2162
Cl2 Cl 0.2492 0.5000 0.7334

# 9
# Ho2MgAl3Ge2Ir | OQMD via LeMat-Bulk | PBE | optimized geometry
# Energy: -93.813 eV for the cell shown
# Total magnetic moment: 0.01 Bohr magnetons per cell
data_Ho2MgAl3Ge2Ir
_space_group_name_H-M_alt 'A m m 2'
_space_group_IT_number 38
_cell_length_a 4.1808
_cell_length_b 11.7401
_cell_length_c 6.9316
_cell_angle_alpha 90.00
_cell_angle_beta 90.00
_cell_angle_gamma 90.00
loop_
_space_group_symop_operation_xyz
'x,y,z'
'-x,-y,z'
'-x,y,z'
'x,-y,z'
'x,y+1/2,z+1/2'
'-x,-y+1/2,z+1/2'
'-x,y+1/2,z+1/2'
'x,-y+1/2,z+1/2'
loop_
_atom_site_label
_atom_site_type_symbol
_atom_site_fract_x
_atom_site_fract_y
_atom_site_fract_z
Ho1 Ho 0.0000 0.2102 0.0000
Mg1 Mg 0.0000 0.0000 0.3859
Al1 Al 0.5000 0.0000 0.0182
Al2 Al 0.5000 0.1160 0.6730
Ge1 Ge 0.5000 0.1625 0.2867
Ir1 Ir 0.0000 0.0000 0.7795

# 10
# RbBeNiBi | OQMD via LeMat-Bulk | PBE | optimized geometry
# Distance to the lowest polymorph of the same formula: 195.3 meV per atom
# Energy: -41.077 eV for the cell shown
# Total magnetic moment: 1.55 Bohr magnetons per cell
data_RbBeNiBi
_space_group_name_H-M_alt 'F -4 3 m'
_space_group_IT_number 216
_space_group_name_Hall 'F -4 2 3'
_cell_length_a 7.1762
_cell_length_b 7.1762
_cell_length_c 7.1762
_cell_angle_alpha 90.00
_cell_angle_beta 90.00
_cell_angle_gamma 90.00
loop_
_atom_site_label
_atom_site_type_symbol
_atom_site_fract_x
_atom_site_fract_y
_atom_site_fract_z
Rb1 Rb 0.0000 0.0000 0.0000
Be1 Be 0.0000 0.0000 0.5000
Ni1 Ni 0.2500 0.2500 0.7500
Bi1 Bi 0.2500 0.2500 0.2500

# 11
# SrBiAu | OQMD via LeMat-Bulk | PBE | optimized geometry
# Energy: -33.039 eV for the cell shown
data_SrBiAu
_space_group_name_H-M_alt 'P -6 2 m'
_space_group_IT_number 189
_space_group_name_Hall 'P -6 -2'
_cell_length_a 8.1016
_cell_length_b 8.1016
_cell_length_c 4.5551
_cell_angle_alpha 90.00
_cell_angle_beta 90.00
_cell_angle_gamma 120.00
loop_
_atom_site_label
_atom_site_type_symbol
_atom_site_fract_x
_atom_site_fract_y
_atom_site_fract_z
Sr1 Sr 0.0000 0.6065 0.0000
Bi1 Bi 0.0000 0.2700 0.5000
Au1 Au 0.0000 0.0000 0.0000
Au2 Au 0.3333 0.6667 0.5000

# 12
# TmScHg | OQMD via LeMat-Bulk | PBE | optimized geometry
# Distance to the lowest polymorph of the same formula: 0.0 meV per atom
# Formation energy: -97 meV/atom
# Energy: -45.570 eV for the cell shown
# Total magnetic moment: 0.01 Bohr magnetons per cell
data_TmScHg
_space_group_name_H-M_alt 'F -4 3 m'
_space_group_IT_number 216
_space_group_name_Hall 'F -4 2 3'
_cell_length_a 6.9389
_cell_length_b 6.9389
_cell_length_c 6.9389
_cell_angle_alpha 90.00
_cell_angle_beta 90.00
_cell_angle_gamma 90.00
loop_
_atom_site_label
_atom_site_type_symbol
_atom_site_fract_x
_atom_site_fract_y
_atom_site_fract_z
Tm1 Tm 0.0000 0.0000 0.0000
Sc1 Sc 0.0000 0.0000 0.5000
Hg1 Hg 0.2500 0.2500 0.7500